Entry 1:
A relaxed structure of VTcH3, computed with PBE.

a = 3.438 Å, b = 3.438 Å, c = 3.438 Å
α = 90.00°, β = 90.00°, γ = 90.00°
Each line ends with the local moment (μB).
Element x y z (fractional)
Tc1 0.000 0.000 0.000  0.34
H1 0.000 0.000 0.500  -0.01
H2 0.000 0.500 0.000  -0.01
V1 0.500 0.500 0.500  2.30
H3 0.500 0.000 0.000  -0.01

Summary:
**Polymorph energy (0 for the lowest one)**: 0 meV per atom
**Magnetic moment**: 3.0 μB per formula unit
**Uncorrected energy**: -5.70 eV/atom

Entry 2:
A relaxed structure of V2TcH, computed with PBE.

a = 2.862 Å, b = 2.862 Å, c = 5.578 Å
α = 90.00°, β = 90.00°, γ = 90.00°
Element x y z (fractional)
V1 0.000 0.000 0.790
V2 0.000 0.000 0.210
H1 0.500 0.500 0.000
Tc1 0.500 0.500 0.500

Summary:
**Polymorph energy (0 for the lowest one)**: 71 meV per atom
**Magnetic moment**: 0.0 μB per formula unit
**Uncorrected energy**: -7.75 eV/atom

Entry 3:
A relaxed structure of V2TcH, computed with PBE.

a = 3.800 Å, b = 3.800 Å, c = 5.852 Å
α = 71.05°, β = 71.05°, γ = 60.00°
Element x y z (fractional)
V1 0.894 0.894 0.319
V2 0.106 0.106 0.681
H1 0.000 0.000 0.000
Tc1 0.500 0.500 0.500

Summary:
**Polymorph energy (0 for the lowest one)**: 551 meV per atom
**Magnetic moment**: 0.0 μB per formula unit
**Uncorrected energy**: -7.27 eV/atom

Entry 4:
A relaxed structure of VTc3H, computed with PBE.

a = 3.909 Å, b = 3.909 Å, c = 3.909 Å
α = 90.00°, β = 90.00°, γ = 90.00°
Element x y z (fractional)
Tc1 0.000 0.000 0.500
V1 0.500 0.500 0.500
H1 0.000 0.000 0.000
Tc2 0.500 0.000 0.000
Tc3 0.000 0.500 0.000

Summary:
**Polymorph energy (0 for the lowest one)**: 0 meV per atom
**Magnetic moment**: 0.0 μB per formula unit
**Uncorrected energy**: -8.68 eV/atom

Entry 5:
A relaxed structure of VTcH3, computed with PBE.

a = 3.318 Å, b = 3.318 Å, c = 3.318 Å
α = 90.00°, β = 90.00°, γ = 90.00°
Each line ends with the local moment (μB).
Element x y z (fractional)
H1 0.000 0.500 0.000  0.00
H2 0.000 0.000 0.500  0.00
Tc1 0.500 0.500 0.500  0.28
V1 0.000 0.000 0.000  0.24
H3 0.500 0.000 0.000  0.00

Summary:
**Polymorph energy (0 for the lowest one)**: 122 meV per atom
**Magnetic moment**: 0.6 μB per formula unit
**Uncorrected energy**: -5.58 eV/atom

Entry 6:
A relaxed structure of V2TcH, computed with PBE.

a = 4.106 Å, b = 4.106 Å, c = 4.106 Å
α = 60.00°, β = 60.00°, γ = 60.00°
Element x y z (fractional)
V1 0.250 0.250 0.250
Tc1 0.500 0.500 0.500
V2 0.750 0.750 0.750
H1 0.000 0.000 0.000

Summary:
**Polymorph energy (0 for the lowest one)**: 346 meV per atom
**Magnetic moment**: 0.0 μB per formula unit
**Uncorrected energy**: -7.48 eV/atom